## Na2Tl5In2 (GGA-PBE)

Data for crystalline Na2Tl5In2 at its relaxed geometry.

Cell and atoms, written as POSCAR:
```
Na2Tl5In2
1.0
8.4241 0.0000 0.0000
0.0000 8.6903 0.0000
0.0000 -4.3451 7.5784
Tl Na In
10 4 4
direct
0.1864 0.1817 0.7404
0.3136 0.9413 0.2596
0.8136 0.8183 0.2596
0.3136 0.6817 0.7404
0.1864 0.4413 0.2596
0.0000 0.0000 0.0000
0.6864 0.0587 0.7404
0.8136 0.5587 0.7404
0.6864 0.3183 0.2596
0.5000 0.5000 0.0000
0.0000 0.7782 0.5564
0.5000 0.2782 0.5564
0.0000 0.2218 0.4436
0.5000 0.7218 0.4436
0.8765 0.3817 0.0000
0.1235 0.6183 0.0000
0.6235 0.8817 0.0000
0.3765 0.1183 0.0000
```

Values from the calculation:
**Electronic total energy**: -2.240 eV/atom
**D(E_F)**: 7.22 states/eV/cell
**Total moment**: 0.0 μB per formula unit
**Calculated volume**: 30.8 A^3/atom
**Calculated formation energy**: -24 meV per atom